Entry from Alexandria via LeMat-Bulk: a relaxed structure of NaTlOsBr6 (PBE).

Calculated values
* energy relative to the elements, uncorrected: -0.58 eV per atom
* total magnetization: 4.0 μB per cell
* DOS at the Fermi energy: 0.70 states/eV per atom

Structure (POSCAR):
```
NaTlOsBr6
1.0
7.332 0.000 0.000
-3.666 6.350 0.000
0.000 0.000 13.345
Na Tl Os Br
2 2 2 12
Cartesian
0.000 4.233 3.336
3.666 2.117 10.009
0.000 0.000 0.000
0.000 0.000 6.673
0.000 4.233 10.009
3.666 2.117 3.336
-1.092 2.509 8.548
-2.039 4.149 11.469
1.092 2.509 11.469
-0.947 6.041 8.548
2.719 0.308 1.876
1.627 2.201 4.797
2.039 4.149 8.548
0.947 6.041 11.469
4.613 0.308 4.797
2.574 3.841 1.876
5.705 2.201 1.876
4.758 3.841 4.797
```